PBE Nd6P2PdSe3, optimized geometry; space group = No. 12; DOS at the Fermi energy = 6.4 states/eV/cell; VASP energy = -6.177 eV/atom
1.0
4.178 0.000 0.000
0.000 8.490 0.287
-2.089 -2.466 8.875
Nd P Pd Se
6 2 1 3
direct
0.332 0.903 0.664 Nd
0.671 0.574 0.342 Nd
0.668 0.097 0.336 Nd
0.005 0.248 0.010 Nd
0.995 0.752 0.990 Nd
0.329 0.426 0.658 Nd
0.833 0.666 0.666 P
0.167 0.334 0.334 P
0.500 0.000 0.000 Pd
0.500 0.500 0.000 Se
0.834 0.167 0.667 Se
0.166 0.833 0.333 Se



PBE HoNbSi2Os, optimized geometry; space group = No. 119; DOS at the Fermi energy = 3.1 states/eV/cell; VASP energy = -7.959 eV/atom
1.0
4.024 0.000 0.000
0.000 4.024 0.000
-2.012 -2.012 5.460
Ho Nb Si Os
1 1 2 1
direct
0.000 0.000 0.000 Ho
0.250 0.750 0.500 Nb
0.609 0.609 0.218 Si
0.391 0.391 0.782 Si
0.750 0.250 0.500 Os



PBE LiSi2As2, optimized geometry; polymorph energy (0 for the lowest one) = 258 meV per atom; space group = No. 139; DOS at the Fermi energy = 1.5 states/eV/cell
1.0
-3.712 2.259 1.009
0.731 -0.737 4.339
1.555 5.626 2.987
As Si Li
2 2 1
direct
0.356 0.356 0.288 As
0.644 0.644 0.712 As
0.750 0.250 0.500 Si
0.250 0.750 0.500 Si
0.000 0.000 0.000 Li



PBE Ba2ReHgPt, optimized geometry; space group = No. 123; DOS at the Fermi energy = 4.3 states/eV/cell; energy of formation from the pure elements = 31 kJ per mole of atoms
1.0
-5.477 2.068 -1.499
-0.850 -4.046 -2.477
-2.321 -2.551 4.962
Re Hg Pt Ba
1 1 1 2
direct
0.000 0.000 0.000 Re
0.500 0.500 0.500 Hg
0.000 0.500 0.000 Pt
0.000 0.000 0.500 Ba
0.500 0.000 0.000 Ba



PBE Ce2Al5Os2Pd, optimized geometry; space group = No. 127; DOS at the Fermi energy = 18.9 states/eV/cell; energy of formation from the pure elements = -40 kJ per mole of atoms
1.0
-0.929 2.740 -0.967
-9.246 -4.409 -3.609
-4.640 1.833 9.647
Ce Al Os Pd
4 10 4 2
direct
0.000 0.686 0.186 Ce
0.000 0.314 0.814 Ce
0.000 0.186 0.314 Ce
0.000 0.814 0.686 Ce
0.500 0.193 0.048 Al
0.500 0.807 0.952 Al
0.500 0.048 0.807 Al
0.500 0.693 0.452 Al
0.500 0.952 0.193 Al
0.500 0.307 0.548 Al
0.500 0.548 0.693 Al
0.500 0.452 0.307 Al
0.500 0.500 0.000 Al
0.500 0.000 0.500 Al
0.000 0.135 0.635 Os
0.000 0.865 0.365 Os
0.000 0.635 0.865 Os
0.000 0.365 0.135 Os
0.000 0.000 0.000 Pd
0.000 0.500 0.500 Pd



PBE Ba3HgN, optimized geometry; polymorph energy (0 for the lowest one) = 0 meV per atom; space group = No. 2; DOS at the Fermi energy = 7.8 states/eV/cell
1.0
7.526 -0.038 -1.634
-0.194 4.589 -0.981
-1.862 0.083 11.980
Ba Hg N
6 2 2
direct
0.800 0.056 0.112 Ba
0.200 0.944 0.888 Ba
0.964 0.304 0.608 Ba
0.036 0.696 0.392 Ba
0.505 0.156 0.312 Ba
0.495 0.844 0.688 Ba
0.187 0.557 0.115 Hg
0.813 0.443 0.885 Hg
0.151 0.828 0.656 N
0.849 0.172 0.344 N



PBE Ca3Np3NiS8, optimized geometry; space group = No. 12; DOS at the Fermi energy = 27.6 states/eV/cell; VASP energy = -6.965 eV/atom
1.0
-4.245 -0.260 -6.611
-0.548 -5.754 4.981
-3.164 7.024 1.922
Ca Np Ni S
3 3 1 8
direct
0.000 0.000 0.000 Ca
0.000 0.500 0.000 Ca
0.500 0.500 0.000 Ca
0.500 0.000 0.500 Np
0.500 0.500 0.500 Np
0.000 0.500 0.500 Np
0.000 0.000 0.500 Ni
0.249 0.499 0.250 S
0.751 0.501 0.750 S
0.779 0.563 0.288 S
0.221 0.437 0.712 S
0.779 0.004 0.288 S
0.221 0.996 0.712 S
0.285 0.011 0.236 S
0.715 0.989 0.764 S



PBE Na4HgSb, optimized geometry; polymorph energy (0 for the lowest one) = 0 meV per atom; space group = No. 65; DOS at the Fermi energy = 4.0 states/eV/cell
1.0
-3.739 4.028 1.706
-7.373 -6.740 -0.241
6.622 -0.016 4.842
Na Hg Sb
8 2 2
direct
0.750 0.089 0.999 Na
0.750 0.411 0.001 Na
0.250 0.911 0.001 Na
0.250 0.589 0.999 Na
0.000 0.846 0.500 Na
0.500 0.654 0.500 Na
0.000 0.154 0.500 Na
0.500 0.346 0.500 Na
0.500 0.000 0.500 Hg
0.000 0.500 0.500 Hg
0.750 0.750 0.000 Sb
0.250 0.250 0.000 Sb



PBE CeDy12Th7, optimized geometry; space group = No. 204; DOS at the Fermi energy = 52.6 states/eV/cell; energy of formation from the pure elements = 92 kJ per mole of atoms
1.0
-8.413 -2.060 4.907
7.498 -5.243 3.922
1.992 9.723 0.766
Ce Dy Th
1 12 7
direct
0.000 0.000 0.000 Ce
0.451 0.695 0.756 Dy
0.939 0.695 0.244 Dy
0.549 0.305 0.244 Dy
0.061 0.305 0.756 Dy
0.756 0.061 0.305 Dy
0.756 0.451 0.695 Dy
0.244 0.939 0.695 Dy
0.244 0.549 0.305 Dy
0.695 0.756 0.451 Dy
0.305 0.244 0.549 Dy
0.695 0.244 0.939 Dy
0.305 0.756 0.061 Dy
0.500 0.500 0.000 Th
0.000 0.500 0.500 Th
0.500 0.000 0.500 Th
0.500 0.500 0.500 Th
0.000 0.000 0.500 Th
0.500 0.000 0.000 Th
0.000 0.500 0.000 Th



PBE NpGa8Ni4, optimized geometry; space group = No. 139; DOS at the Fermi energy = 12.8 states/eV/cell; energy of formation from the pure elements = -30 kJ per mole of atoms
1.0
5.122 0.000 0.000
2.561 6.121 0.000
2.561 0.000 6.121
Np Ga Ni
1 8 4
direct
0.000 0.000 0.000 Np
0.000 0.343 0.657 Ga
0.000 0.657 0.343 Ga
0.343 0.657 0.657 Ga
0.657 0.343 0.343 Ga
0.500 0.780 0.220 Ga
0.500 0.220 0.780 Ga
0.280 0.220 0.220 Ga
0.720 0.780 0.780 Ga
0.000 0.000 0.500 Ni
0.500 0.000 0.500 Ni
0.000 0.500 0.000 Ni
0.500 0.500 0.000 Ni



PBE Pr2AlZn3Pd4, optimized geometry; space group = No. 115; DOS at the Fermi energy = 4.0 states/eV/cell; energy of formation from the pure elements = -64 kJ per mole of atoms
1.0
-3.106 0.919 2.778
-2.467 -3.002 -1.765
3.935 -7.226 6.790
Pr Al Zn Pd
2 1 3 4
direct
0.500 0.000 0.244 Pr
0.000 0.500 0.756 Pr
0.500 0.500 0.500 Al
0.000 0.000 0.500 Zn
0.500 0.000 0.867 Zn
0.000 0.500 0.133 Zn
0.500 0.500 0.000 Pd
0.000 0.000 0.000 Pd
0.500 0.000 0.631 Pd
0.000 0.500 0.369 Pd



PBE Mg2Tc3, optimized geometry; polymorph energy (0 for the lowest one) = 56 meV per atom; space group = No. 166; DOS at the Fermi energy = 4.2 states/eV/cell; energy of formation from the pure elements = 18 kJ per mole of atoms
1.0
-3.525 2.099 10.940
-3.329 -0.704 11.178
-1.055 0.909 11.601
Mg Tc
2 3
direct
0.599 0.599 0.599 Mg
0.401 0.401 0.401 Mg
0.000 0.000 0.000 Tc
0.196 0.196 0.196 Tc
0.804 0.804 0.804 Tc



PBE VFe2SbH, optimized geometry; space group = No. 123; DOS at the Fermi energy = 6.4 states/eV/cell; VASP energy = -6.671 eV/atom
1.0
-3.746 -0.679 0.710
-0.126 -2.443 -3.002
0.982 -2.948 2.359
Sb Fe H V
1 2 1 1
direct
0.500 0.500 0.500 Sb
0.000 0.500 0.000 Fe
0.500 0.000 0.000 Fe
0.000 0.000 0.000 H
0.000 0.000 0.500 V



PBE Ac2CuSi4Rh3, optimized geometry; space group = No. 115; DOS at the Fermi energy = 8.5 states/eV/cell; VASP energy = -6.402 eV/atom
1.0
4.328 0.000 0.000
0.000 4.328 0.000
0.000 0.000 9.978
Ac Cu Si Rh
2 1 4 3
direct
0.500 0.000 0.248 Ac
0.000 0.500 0.752 Ac
0.500 0.500 0.500 Cu
0.500 0.500 0.000 Si
0.000 0.000 0.000 Si
0.500 0.000 0.624 Si
0.000 0.500 0.376 Si
0.000 0.000 0.500 Rh
0.500 0.000 0.877 Rh
0.000 0.500 0.123 Rh



PBE Sr3Ca3Pd4, optimized geometry; space group = No. 38; DOS at the Fermi energy = 3.2 states/eV/cell; energy of formation from the pure elements = -52 kJ per mole of atoms
1.0
-1.620 -2.806 2.672
7.328 -3.491 0.776
1.677 4.974 6.239
Sr Ca Pd
3 3 4
direct
0.000 0.504 0.002 Sr
0.000 0.998 0.496 Sr
0.500 0.157 0.843 Sr
0.500 0.842 0.158 Ca
0.500 0.345 0.344 Ca
0.500 0.656 0.655 Ca
0.000 0.629 0.371 Pd
0.000 0.380 0.620 Pd
0.000 0.864 0.876 Pd
0.000 0.124 0.136 Pd



PBE BaPrHg4, optimized geometry; polymorph energy (0 for the lowest one) = 0 meV per atom; space group = No. 47; DOS at the Fermi energy = 3.8 states/eV/cell; energy of formation from the pure elements = -42 kJ per mole of atoms
1.0
-3.218 -0.760 -1.626
2.366 -3.462 -3.064
-1.561 -6.485 6.123
Ba Pr Hg
1 1 4
direct
0.999 0.497 0.998 Ba
0.999 0.997 0.498 Pr
0.499 0.997 0.174 Hg
0.499 0.997 0.822 Hg
0.499 0.497 0.658 Hg
0.499 0.497 0.338 Hg



PBE CrS2IN, optimized geometry; polymorph energy (0 for the lowest one) = 0 meV per atom; space group = No. 123; DOS at the Fermi energy = 3.8 states/eV/cell
1.0
-2.449 2.734 -3.219
2.862 -1.662 -3.589
-2.294 -2.724 -0.568
I Cr S N
1 1 2 1
direct
0.500 0.500 0.500 I
0.000 0.000 0.000 Cr
0.000 0.500 0.000 S
0.500 0.000 0.000 S
0.000 0.000 0.500 N



PBE KSn3Pd, optimized geometry; polymorph energy (0 for the lowest one) = 301 meV per atom; space group = No. 221; DOS at the Fermi energy = 4.0 states/eV/cell; energy of formation from the pure elements = -5 kJ per mole of atoms
1.0
5.357 0.000 0.000
0.000 5.357 0.000
0.000 0.000 5.357
K Sn Pd
1 3 1
direct
0.500 0.500 0.500 K
0.000 0.500 0.000 Sn
0.000 0.000 0.500 Sn
0.500 0.000 0.000 Sn
0.000 0.000 0.000 Pd



PBE Pr6Bi2Ir, optimized geometry; space group = No. 136; DOS at the Fermi energy = 28.3 states/eV/cell; energy of formation from the pure elements = -30 kJ per mole of atoms
1.0
7.212 0.000 0.000
0.000 7.212 0.000
0.000 0.000 14.081
Pr Bi Ir
12 4 2
direct
0.312 0.312 0.353 Pr
0.688 0.688 0.353 Pr
0.188 0.812 0.853 Pr
0.812 0.188 0.853 Pr
0.188 0.812 0.147 Pr
0.812 0.188 0.147 Pr
0.312 0.312 0.647 Pr
0.688 0.688 0.647 Pr
0.281 0.281 0.000 Pr
0.719 0.719 0.000 Pr
0.219 0.781 0.500 Pr
0.781 0.219 0.500 Pr
0.000 0.000 0.332 Bi
0.500 0.500 0.832 Bi
0.500 0.500 0.168 Bi
0.000 0.000 0.668 Bi
0.000 0.000 0.000 Ir
0.500 0.500 0.500 Ir



PBE OsPdS2N, optimized geometry; polymorph energy (0 for the lowest one) = 0 meV per atom; space group = No. 123; DOS at the Fermi energy = 4.6 states/eV/cell
1.0
-4.243 2.178 -0.329
-1.310 -3.069 -3.423
-1.353 -2.252 2.537
S Os Pd N
2 1 1 1
direct
0.000 0.500 0.000 S
0.500 0.000 0.000 S
0.000 0.000 0.000 Os
0.500 0.500 0.500 Pd
0.000 0.000 0.500 N